Material: Sm2TmCd2
Method: DFT, PBE
State: optimized geometry

Cell lengths 3.734, 5.341, 14.138 Å; angles 90.00, 97.58, 90.00 degrees
Positions (direct):
1 Sm 0.045 0.250 0.088
2 Sm 0.234 0.250 0.470
3 Sm 0.766 0.750 0.530
4 Sm 0.955 0.750 0.912
5 Tm 0.150 0.750 0.300
6 Tm 0.850 0.250 0.700
7 Cd 0.361 0.750 0.722
8 Cd 0.443 0.250 0.886
9 Cd 0.557 0.750 0.114
10 Cd 0.639 0.250 0.278

## Properties
Energy relative to the lowest polymorph listed for this composition, kJ per mole of atoms: 0.0
Formation energy from the elements, kJ per mole of atoms: -23.6
Density of states at the Fermi level, states/eV/cell: 9.97
E, eV per atom: -3.39
Theoretical density, g cm⁻³: 8.3

Material: SmTm2Cd
Method: DFT, PBE
State: optimized geometry

Cell lengths 4.837, 4.837, 4.830 Å; angles 90.00, 90.00, 90.00 degrees
Positions (direct):
1 Sm 0.000 0.000 0.000
2 Tm 0.000 0.500 0.500
3 Tm 0.500 0.000 0.500
4 Cd 0.500 0.500 0.000

## Properties
Energy relative to the lowest polymorph listed for this composition, kJ per mole of atoms: 6.0
Formation energy from the elements, kJ per mole of atoms: -8.3
Density of states at the Fermi level, states/eV/cell: 5.65
E, eV per atom: -3.73
Theoretical density, g cm⁻³: 8.8